--- P ---
Entry from Alexandria: a relaxed structure of CrSiP (PBE).

Values from the calculation:
The density of states at the Fermi level is 1.81 states/eV per cell.

a b c (Å): 2.842 2.842 4.974
angles (deg): 90.00 90.00 90.00
Site moments in Bohr magnetons follow the coordinates.
Sites, in units of the cell vectors:
Cr: 0.000 0.000 0.664  0.55
Si: 0.500 0.500 0.960  -0.01
P: 0.500 0.500 0.417  -0.03

=====

--- Q ---
Entry from Alexandria: a relaxed structure of CrSiP (PBE).

Values from the calculation:
The density of states at the Fermi level is 7.42 states/eV per cell.

a b c (Å): 6.521 6.521 3.214
angles (deg): 90.00 90.00 120.00
Site moments in Bohr magnetons follow the coordinates.
Sites, in units of the cell vectors:
Cr: 0.000 0.739 0.000  0.80
Cr: 0.261 0.261 0.000  0.80
Cr: 0.739 0.000 0.000  0.80
Si: 0.667 0.333 0.000  -0.01
Si: 0.333 0.667 0.000  -0.01
Si: 0.000 0.000 0.500  -0.04
P: 0.000 0.363 0.500  -0.02
P: 0.637 0.637 0.500  -0.02
P: 0.363 0.000 0.500  -0.02

=====

Most stable: P

=====

--- P ---
Entry from Alexandria: a relaxed structure of CrSi2P2 (PBE).

Values from the calculation:
The density of states at the Fermi level is 4.41 states/eV per cell.

a b c (Å): 6.915 6.915 3.583
angles (deg): 90.00 90.00 90.00
Site moments in Bohr magnetons follow the coordinates.
Sites, in units of the cell vectors:
Cr: 0.000 0.000 0.000  3.06
Cr: 0.500 0.500 0.000  3.05
Si: 0.119 0.619 0.500  -0.01
Si: 0.619 0.881 0.500  -0.01
Si: 0.881 0.381 0.500  -0.02
Si: 0.381 0.119 0.500  -0.01
P: 0.257 0.757 0.000  -0.03
P: 0.757 0.743 0.000  -0.04
P: 0.743 0.243 0.000  -0.03
P: 0.243 0.257 0.000  -0.04

=====

--- Q ---
Entry from Alexandria: a relaxed structure of CrSi2P2 (PBE).

Values from the calculation:
The density of states at the Fermi level is 2.67 states/eV per cell.

a b c (Å): 3.212 3.212 7.648
angles (deg): 77.88 77.88 90.00
Sites, in units of the cell vectors:
Cr: 0.000 0.000 0.000
Si: 0.750 0.250 0.500
Si: 0.250 0.750 0.500
P: 0.417 0.417 0.165
P: 0.583 0.583 0.835

=====

Most stable: P

=====

--- P ---
Entry from Alexandria: a relaxed structure of CrSi3P (PBE).

Values from the calculation:
The density of states at the Fermi level is 3.75 states/eV per cell.

a b c (Å): 4.490 4.490 4.490
angles (deg): 90.00 90.00 90.00
Site moments in Bohr magnetons follow the coordinates.
Sites, in units of the cell vectors:
Cr: 0.000 0.000 0.000  1.31
Si: 0.000 0.500 0.000  0.01
Si: 0.000 0.000 0.500  -0.02
Si: 0.500 0.000 0.000  -0.01
P: 0.500 0.500 0.500  0.57

=====

--- Q ---
Entry from Alexandria: a relaxed structure of CrSi3P (PBE).

Values from the calculation:
The density of states at the Fermi level is 7.52 states/eV per cell.

a b c (Å): 4.441 4.441 4.441
angles (deg): 90.00 90.00 90.00
Site moments in Bohr magnetons follow the coordinates.
Sites, in units of the cell vectors:
Cr: 0.500 0.500 0.500  -0.60
Si: 0.000 0.500 0.000  0.04
Si: 0.000 0.000 0.500  -0.01
Si: 0.500 0.000 0.000  0.03
P: 0.000 0.000 0.000  -0.01

=====

Most stable: P

=====

--- P ---
Entry from Alexandria: a relaxed structure of Cr3SnP (PBE).

Values from the calculation:
The density of states at the Fermi level is 2.52 states/eV per cell.

a b c (Å): 5.022 5.022 5.022
angles (deg): 90.00 90.00 90.00
Site moments in Bohr magnetons follow the coordinates.
Sites, in units of the cell vectors:
Cr: 0.000 0.500 0.000  3.66
Cr: 0.000 0.000 0.500  3.87
Cr: 0.500 0.000 0.000  3.50
Sn: 0.000 0.000 0.000  -0.25
P: 0.500 0.500 0.500  -0.46

=====

--- Q ---
Entry from Alexandria: a relaxed structure of Cr3SnP (PBE).

Values from the calculation:
The density of states at the Fermi level is 10.68 states/eV per cell.

a b c (Å): 4.238 4.238 4.238
angles (deg): 90.00 90.00 90.00
Site moments in Bohr magnetons follow the coordinates.
Sites, in units of the cell vectors:
Cr: 0.000 0.500 0.000  0.25
Cr: 0.000 0.000 0.500  0.32
Cr: 0.500 0.000 0.000  0.14
Sn: 0.500 0.500 0.500  -0.02
P: 0.000 0.000 0.000  -0.01

=====

Most stable: Q

=====

--- P ---
Entry from Alexandria: a relaxed structure of Cr2SnP (PBE).

Values from the calculation:
The density of states at the Fermi level is 3.57 states/eV per cell.

a b c (Å): 4.343 4.343 4.343
angles (deg): 60.00 60.00 60.00
Site moments in Bohr magnetons follow the coordinates.
Sites, in units of the cell vectors:
Cr: 0.250 0.250 0.250  1.37
Cr: 0.750 0.750 0.750  1.37
Sn: 0.500 0.500 0.500  -0.08
P: 0.000 0.000 0.000  -0.11

=====

--- Q ---
Entry from Alexandria: a relaxed structure of Cr2SnP (PBE).

Values from the calculation:
The density of states at the Fermi level is 2.43 states/eV per cell.

a b c (Å): 6.873 6.873 5.653
angles (deg): 52.56 52.56 90.00
Site moments in Bohr magnetons follow the coordinates.
Sites, in units of the cell vectors:
Cr: 0.563 0.125 0.250  2.44
Cr: 0.187 0.625 0.250  2.45
Cr: 0.375 0.437 0.750  2.42
Cr: 0.875 0.813 0.750  2.43
Sn: 0.000 0.000 0.000  -0.10
Sn: 0.750 0.250 0.500  -0.11
P: 0.500 0.500 0.000  -0.13
P: 0.250 0.750 0.500  -0.13

=====

Most stable: Q

=====

--- P ---
Entry from Alexandria: a relaxed structure of Sr3CrP3 (PBE).

Values from the calculation:
The density of states at the Fermi level is 5.44 states/eV per cell.

a b c (Å): 8.891 8.891 6.173
angles (deg): 90.00 90.00 120.00
Site moments in Bohr magnetons follow the coordinates.
Sites, in units of the cell vectors:
Sr: 0.365 0.288 0.250  0.01
Sr: 0.712 0.078 0.250  0.01
Sr: 0.922 0.635 0.250  0.01
Sr: 0.635 0.712 0.750  0.01
Sr: 0.288 0.922 0.750  0.01
Sr: 0.078 0.365 0.750  0.01
P: 0.397 0.305 0.750  -0.07
P: 0.695 0.092 0.750  -0.07
P: 0.908 0.603 0.750  -0.07
P: 0.603 0.695 0.250  -0.07
P: 0.305 0.908 0.250  -0.07
P: 0.092 0.397 0.250  -0.07
Cr: 0.667 0.333 0.750  2.75
Cr: 0.333 0.667 0.250  2.75

=====

--- Q ---
Entry from Alexandria: a relaxed structure of Sr3CrP3 (PBE).

Values from the calculation:
The density of states at the Fermi level is 7.83 states/eV per cell.

a b c (Å): 6.451 9.933 12.362
angles (deg): 90.00 90.00 108.95
Site moments in Bohr magnetons follow the coordinates.
Sites, in units of the cell vectors:
Sr: 0.663 0.000 0.842  0.03
Sr: 0.837 0.000 0.342  0.03
Sr: 0.163 0.000 0.658  0.03
Sr: 0.337 0.000 0.158  0.03
Sr: 0.009 0.644 0.369  0.03
Sr: 0.491 0.356 0.869  0.03
Sr: 0.864 0.356 0.131  0.03
Sr: 0.636 0.644 0.631  0.03
Sr: 0.991 0.356 0.631  0.03
Sr: 0.509 0.644 0.131  0.03
Sr: 0.136 0.644 0.869  0.03
Sr: 0.364 0.356 0.369  0.03
Cr: 0.420 0.840 0.500  2.69
Cr: 0.080 0.160 0.000  2.69
Cr: 0.580 0.160 0.500  2.69
Cr: 0.920 0.840 0.000  2.69
P: 0.211 0.000 0.906  -0.08
P: 0.289 0.000 0.406  -0.08
P: 0.711 0.000 0.594  -0.08
P: 0.789 0.000 0.094  -0.08
P: 0.535 0.688 0.383  -0.05
P: 0.965 0.312 0.883  -0.05
P: 0.347 0.312 0.117  -0.05
P: 0.153 0.688 0.617  -0.05
P: 0.465 0.312 0.617  -0.05
P: 0.035 0.688 0.117  -0.05
P: 0.653 0.688 0.883  -0.05
P: 0.847 0.312 0.383  -0.05

=====

Most stable: Q

=====

--- P ---
Entry from Alexandria: a relaxed structure of CrTcP2 (PBE).

Values from the calculation:
The density of states at the Fermi level is 2.68 states/eV per cell.

a b c (Å): 4.098 4.098 4.098
angles (deg): 60.00 60.00 60.00
Sites, in units of the cell vectors:
Cr: 0.000 0.000 0.000
Tc: 0.500 0.500 0.500
P: 0.250 0.250 0.250
P: 0.750 0.750 0.750

=====

--- Q ---
Entry from Alexandria: a relaxed structure of CrTcP2 (PBE).

Values from the calculation:
The density of states at the Fermi level is 3.50 states/eV per cell.

a b c (Å): 2.952 2.952 7.052
angles (deg): 77.92 77.92 60.00
Site moments in Bohr magnetons follow the coordinates.
Sites, in units of the cell vectors:
Cr: 0.662 0.662 0.013  0.27
Tc: 0.504 0.504 0.487  0.02
P: 0.080 0.080 0.759  -0.01
P: 0.253 0.253 0.241  -0.01

=====

Most stable: Q

=====

--- P ---
Entry from Alexandria: a relaxed structure of CrTcP2 (PBE).

Values from the calculation:
The density of states at the Fermi level is 2.79 states/eV per cell.

a b c (Å): 5.985 5.985 5.985
angles (deg): 150.29 150.28 42.53
Sites, in units of the cell vectors:
Cr: 0.207 0.707 0.500
Tc: 0.457 0.457 0.000
P: 0.050 0.050 0.000
P: 0.787 0.287 0.500

=====

--- Q ---
Entry from Alexandria: a relaxed structure of CrTcP2 (PBE).

Values from the calculation:
The density of states at the Fermi level is 3.04 states/eV per cell.

a b c (Å): 2.895 2.895 5.772
angles (deg): 90.00 90.00 90.00
Sites, in units of the cell vectors:
Cr: 0.500 0.500 0.750
P: 0.000 0.000 0.987
P: 0.000 0.000 0.513
Tc: 0.500 0.500 0.250

=====

Most stable: P

=====

--- P ---
Entry from Alexandria: a relaxed structure of CrTcP2 (PBE).

Values from the calculation:
The density of states at the Fermi level is 3.51 states/eV per cell.

a b c (Å): 7.336 7.336 7.336
angles (deg): 22.62 22.62 22.62
Site moments in Bohr magnetons follow the coordinates.
Sites, in units of the cell vectors:
Cr: 0.750 0.750 0.750  0.46
P: 0.004 0.004 0.004  -0.01
P: 0.496 0.496 0.496  -0.01
Tc: 0.250 0.250 0.250  0.04

=====

--- Q ---
Entry from Alexandria: a relaxed structure of CrTcP2 (PBE).

Values from the calculation:
The density of states at the Fermi level is 4.59 states/eV per cell.

a b c (Å): 4.208 4.208 4.208
angles (deg): 60.00 60.00 60.00
Site moments in Bohr magnetons follow the coordinates.
Sites, in units of the cell vectors:
Cr: 0.500 0.500 0.500  1.53
P: 0.000 0.000 0.000  0.01
P: 0.250 0.250 0.250  -0.03
Tc: 0.750 0.750 0.750  0.05

=====

Most stable: P

=====

--- P ---
Entry from Alexandria: a relaxed structure of CrTcP2 (PBE).

Values from the calculation:
The density of states at the Fermi level is 3.51 states/eV per cell.

a b c (Å): 4.637 4.637 4.637
angles (deg): 142.57 117.22 75.43
Site moments in Bohr magnetons follow the coordinates.
Sites, in units of the cell vectors:
Cr: 0.250 0.750 0.500  0.96
P: 0.010 0.010 0.000  -0.03
P: 0.490 0.490 0.000  -0.03
Tc: 0.750 0.250 0.500  0.03

=====

--- Q ---
Entry from Alexandria: a relaxed structure of CrTcP2 (PBE).

Values from the calculation:
The density of states at the Fermi level is 3.17 states/eV per cell.

a b c (Å): 7.427 7.427 7.427
angles (deg): 22.65 22.65 22.65
Sites, in units of the cell vectors:
Cr: 0.742 0.742 0.742
P: 0.004 0.004 0.004
P: 0.249 0.249 0.249
Tc: 0.505 0.505 0.505

=====

Most stable: Q

=====

--- P ---
Entry from Alexandria: a relaxed structure of CrTcP2 (PBE).

Values from the calculation:
The density of states at the Fermi level is 3.17 states/eV per cell.

a b c (Å): 4.561 4.561 4.561
angles (deg): 131.58 131.58 70.89
Site moments in Bohr magnetons follow the coordinates.
Sites, in units of the cell vectors:
Cr: 0.750 0.250 0.500  1.67
P: 0.000 0.000 0.000  -0.04
P: 0.250 0.750 0.500  -0.01
Tc: 0.500 0.500 0.000  -0.39

=====

--- Q ---
Entry from Alexandria: a relaxed structure of CrTcP2 (PBE).

Values from the calculation:
The density of states at the Fermi level is 3.23 states/eV per cell.

a b c (Å): 3.054 3.054 5.392
angles (deg): 90.00 90.00 90.00
Sites, in units of the cell vectors:
Cr: 0.500 0.500 0.817
P: 0.000 0.000 0.971
P: 0.500 0.500 0.258
Tc: 0.000 0.000 0.453

=====

Most stable: Q

=====

--- P ---
Entry from Alexandria: a relaxed structure of CrTcP2 (PBE).

Values from the calculation:
The density of states at the Fermi level is 3.71 states/eV per cell.

a b c (Å): 3.944 3.944 4.958
angles (deg): 77.70 77.70 42.98
Site moments in Bohr magnetons follow the coordinates.
Sites, in units of the cell vectors:
Cr: 0.250 0.250 0.250  0.86
P: 0.997 0.997 0.020  -0.02
P: 0.503 0.503 0.480  -0.02
Tc: 0.750 0.750 0.750  0.03

=====

--- Q ---
Entry from Alexandria: a relaxed structure of CrTcP2 (PBE).

Values from the calculation:
The density of states at the Fermi level is 3.13 states/eV per cell.

a b c (Å): 2.859 2.859 7.385
angles (deg): 90.00 90.00 118.44
Site moments in Bohr magnetons follow the coordinates.
Sites, in units of the cell vectors:
Cr: 0.500 0.500 0.750  0.90
P: 0.000 0.000 0.990  -0.02
P: 0.000 0.000 0.510  -0.02
Tc: 0.500 0.500 0.250  -0.04

=====

Most stable: P